Entry 1:
{
  "formula": "Er3MgGa7",
  "functional": "PBE",
  "state": "optimized geometry",
  "m_tot_mub_per_cell": 0.00,
  "e_tot_ev_per_cell": -82.3,
  "sg": "No. 63",
  "rho_g_cm3": 7.23,
  "lattice_angstrom": [[4.075, 0.000, 0.000], [-2.038, 9.632, 0.000], [0.000, 0.000, 11.863]],
  "species": ["Er", "Er", "Er", "Er", "Er", "Er", "Ga", "Ga", "Ga", "Ga", "Ga", "Ga", "Ga", "Ga", "Ga", "Ga", "Ga", "Ga", "Ga", "Ga", "Mg", "Mg"],
  "fractional_positions": [[0.894, 0.788, 0.959], [0.106, 0.212, 0.041], [0.106, 0.212, 0.459], [0.894, 0.788, 0.541], [0.758, 0.515, 0.250], [0.242, 0.485, 0.750], [0.402, 0.803, 0.750], [0.742, 0.483, 0.944], [0.370, 0.740, 0.353], [0.496, 0.992, 0.102], [0.258, 0.517, 0.056], [0.598, 0.197, 0.250], [0.630, 0.260, 0.647], [0.496, 0.992, 0.398], [0.742, 0.483, 0.556], [0.630, 0.260, 0.853], [0.258, 0.517, 0.444], [0.504, 0.008, 0.602], [0.504, 0.008, 0.898], [0.370, 0.740, 0.147], [0.043, 0.086, 0.750], [0.957, 0.914, 0.250]]
}

=====

Entry 2:
{
  "formula": "ErMg4Ga4",
  "functional": "PBE",
  "state": "optimized geometry",
  "m_tot_mub_per_cell": 0.00,
  "e_tot_ev_per_cell": -48.2,
  "sg": "No. 137",
  "rho_g_cm3": 4.66,
  "lattice_angstrom": [[6.589, 0.000, 0.000], [0.000, 6.589, 0.000], [0.000, 0.000, 8.917]],
  "species": ["Ga", "Ga", "Ga", "Ga", "Ga", "Ga", "Ga", "Ga", "Mg", "Mg", "Mg", "Mg", "Mg", "Mg", "Mg", "Mg", "Er", "Er"],
  "fractional_positions": [[0.794, 0.500, 0.208], [0.294, 0.000, 0.292], [0.500, 0.794, 0.792], [0.000, 0.706, 0.708], [0.706, 0.000, 0.292], [0.206, 0.500, 0.208], [0.000, 0.294, 0.708], [0.500, 0.206, 0.792], [0.500, 0.761, 0.098], [0.761, 0.500, 0.902], [0.000, 0.261, 0.402], [0.500, 0.239, 0.098], [0.239, 0.500, 0.902], [0.261, 0.000, 0.598], [0.000, 0.739, 0.402], [0.739, 0.000, 0.598], [0.500, 0.500, 0.500], [0.000, 0.000, 0.000]]
}

=====

Entry 3:
{
  "formula": "ErMg2Ga",
  "functional": "PBE",
  "state": "optimized geometry",
  "m_tot_mub_per_cell": 0.00,
  "sg": "No. 123",
  "rho_g_cm3": 5.37,
  "polymorph_energy_ev_per_fu": 0.00,
  "lattice_angstrom": [[-0.231, 2.957, -3.688], [-4.073, 0.987, 1.047], [1.423, 3.225, 2.497]],
  "species": ["Er", "Mg", "Mg", "Ga"],
  "fractional_positions": [[0.500, 0.000, 0.000], [0.000, 0.500, 0.000], [0.000, 0.000, 0.500], [0.500, 0.500, 0.500]]
}

=====

Entry 4:
{
  "formula": "ErMgGa6",
  "functional": "PBE",
  "state": "optimized geometry",
  "m_tot_mub_per_cell": 0.00,
  "e_tot_ev_per_cell": -26.7,
  "sg": "No. 123",
  "rho_g_cm3": 6.73,
  "lattice_angstrom": [[-1.319, -3.484, 1.995], [3.375, -2.099, -1.435], [4.338, 2.285, 6.859]],
  "species": ["Er", "Mg", "Ga", "Ga", "Ga", "Ga", "Ga", "Ga"],
  "fractional_positions": [[0.000, 0.000, 0.000], [0.000, 0.000, 0.500], [0.000, 0.500, 0.741], [0.500, 0.000, 0.259], [0.500, 0.000, 0.741], [0.500, 0.500, 0.500], [0.500, 0.500, 0.000], [0.000, 0.500, 0.259]]
}

=====

Number 1 is which compound?
Er3MgGa7

=====

Copy entry 3 word for word.
{
  "formula": "ErMg2Ga",
  "functional": "PBE",
  "state": "optimized geometry",
  "m_tot_mub_per_cell": 0.00,
  "sg": "No. 123",
  "rho_g_cm3": 5.37,
  "polymorph_energy_ev_per_fu": 0.00,
  "lattice_angstrom": [[-0.231, 2.957, -3.688], [-4.073, 0.987, 1.047], [1.423, 3.225, 2.497]],
  "species": ["Er", "Mg", "Mg", "Ga"],
  "fractional_positions": [[0.500, 0.000, 0.000], [0.000, 0.500, 0.000], [0.000, 0.000, 0.500], [0.500, 0.500, 0.500]]
}